Density functional theory data (GGA-PBE) for SrLi2LaCr after structural relaxation.

a b c (Å): 5.241 5.241 5.759
angles (deg): 90.00 90.00 90.00
Element x y z (fractional)
Sr: 0.000 0.000 0.000
Li: 0.000 0.500 0.500
Li: 0.500 0.000 0.500
La: 0.500 0.500 0.000
Cr: 0.000 0.000 0.500

Values from the calculation:
uncorrected energy: -3.326 eV/atom
energy relative to the elements: 0.686 eV/atom
mass density: 3.07 g cm⁻³
DOS at the Fermi energy: 6.44 states/eV/f.u.

---

Density functional theory data (GGA-PBE) for LiLaTbCr after structural relaxation.

a b c (Å): 5.223 5.223 5.223
angles (deg): 60.00 60.00 60.00
Element x y z (fractional)
Li: 0.000 0.000 0.000
La: 0.250 0.250 0.250
Tb: 0.750 0.750 0.750
Cr: 0.500 0.500 0.500

Values from the calculation:
uncorrected energy: -5.060 eV/atom
energy relative to the elements: 0.214 eV/atom
mass density: 5.88 g cm⁻³
DOS at the Fermi energy: 3.76 states/eV/f.u.